This record from the Alexandria database describes LiZnFe10O16 after structural relaxation. The functional is PBE with a Hubbard U.

Geometry as extended XYZ:
```
28
Lattice="-4.7628 1.5770 -9.0431 0.8043 -0.2490 -10.3073 -3.3921 -4.2526 -8.7953" Properties=species:S:1:pos:R:3 pbc="T T T"
O -0.1797 -0.3378 -6.9523
O -4.7672 -0.0069 -13.2495
O -5.9524 -2.3684 -22.7925
O -2.7847 0.5166 -6.3608
O -6.2693 -2.2230 -17.6200
O -2.2666 -0.9018 -8.6789
O -2.4357 0.5509 -11.5222
O -4.6330 -1.5455 -10.7305
O -4.2030 -1.6723 -16.0936
O -1.7180 -2.5016 -11.3924
O -0.4716 -0.1876 -1.8058
O -2.1433 -2.2111 -6.2448
O -3.6138 -3.0940 -18.2230
O -4.0211 -3.1801 -13.1146
O -4.2676 -0.3133 -18.3412
O -1.7369 -1.0008 -13.9376
Li -3.6769 -1.4630 -14.0791
Fe -4.9087 -3.4028 -16.7020
Fe -4.5031 -3.5474 -21.8917
Fe -7.3182 -2.6241 -21.2525
Fe -6.4473 -2.5653 -24.6873
Fe -5.5932 -0.4916 -16.8258
Fe -2.7592 -1.0979 -10.5654
Fe -7.3255 -2.9147 -28.0502
Fe -1.3704 -0.5452 -5.2472
Fe -5.1962 -0.5996 -22.0170
Fe -2.8132 -1.4035 -17.4571
Zn -5.0443 -2.0070 -19.3150
```

**Final energy**: -6.264 eV/atom